# AgPS3

A relaxed structure of AgPS3 (PBE, the Alexandria database).

## Properties
DOS at the Fermi energy ... 4.6 states/eV/f.u.
Relative energy among the computed polymorphs ... 1390.4 meV/atom

The structure in POSCAR format:
```
AgPS3
1.0
4.754 0.000 0.000
0.000 4.754 0.000
0.000 0.000 4.754
Ag P S
1 1 3
direct
0.000 0.000 0.000
0.500 0.500 0.500
0.000 0.000 0.500
0.000 0.500 0.000
0.500 0.000 0.000
```

---

# Ag3PS

A relaxed structure of Ag3PS (PBE, the Alexandria database).

## Properties
DOS at the Fermi energy ... 4.7 states/eV/f.u.
Relative energy among the computed polymorphs ... 0.0 meV/atom

The structure in POSCAR format:
```
Ag3PS
1.0
4.765 0.000 0.000
0.000 4.765 0.000
0.000 0.000 4.765
Ag P S
3 1 1
direct
0.000 0.000 0.500
0.000 0.500 0.000
0.500 0.000 0.000
0.000 0.000 0.000
0.500 0.500 0.500
```

---

# AgP2S4

A relaxed structure of AgP2S4 (PBE, the Alexandria database).

## Properties
DOS at the Fermi energy ... 2.2 states/eV/f.u.

The structure in POSCAR format:
```
AgP2S4
1.0
-3.621 3.621 2.989
3.621 -3.621 2.989
3.621 3.621 -2.989
Ag P S
1 2 4
direct
0.000 0.000 0.000
0.250 0.750 0.500
0.750 0.250 0.500
0.164 0.671 0.835
0.329 0.164 0.493
0.671 0.836 0.507
0.836 0.329 0.165
```

---

# AgP2S6

A relaxed structure of AgP2S6 (PBE, the Alexandria database).

## Properties
DOS at the Fermi energy ... 4.4 states/eV/f.u.
Relative energy among the computed polymorphs ... 0.0 meV/atom

The structure in POSCAR format:
```
AgP2S6
1.0
6.145 -6.679 0.000
6.145 6.679 0.000
-2.492 0.000 5.178
Ag P S
2 4 12
direct
0.221 0.779 0.750
0.779 0.221 0.250
0.198 0.351 0.718
0.351 0.198 0.218
0.649 0.802 0.782
0.802 0.649 0.282
0.013 0.179 0.603
0.156 0.558 0.905
0.179 0.013 0.103
0.284 0.402 0.435
0.402 0.284 0.935
0.442 0.844 0.595
0.558 0.156 0.405
0.598 0.716 0.065
0.716 0.598 0.565
0.821 0.987 0.897
0.844 0.442 0.095
0.987 0.821 0.397
```

---

# Ag5PS6

A relaxed structure of Ag5PS6 (PBE, the Alexandria database).

## Properties
DOS at the Fermi energy ... 4.1 states/eV/f.u.

The structure in POSCAR format:
```
Ag5PS6
1.0
3.438 -5.575 0.000
3.438 5.575 0.000
-2.654 0.000 5.946
Ag P S
5 1 6
direct
0.000 0.000 0.000
0.176 0.824 0.500
0.355 0.645 0.000
0.645 0.355 0.000
0.824 0.176 0.500
0.500 0.500 0.500
0.156 0.446 0.250
0.259 0.259 0.660
0.446 0.156 0.250
0.554 0.844 0.750
0.741 0.741 0.340
0.844 0.554 0.750
```

---

# Ag2P2S7

A relaxed structure of Ag2P2S7 (PBE, the Alexandria database).

## Properties
DOS at the Fermi energy ... 1.3 states/eV/f.u.

The structure in POSCAR format:
```
Ag2P2S7
1.0
3.929 -5.378 0.000
3.929 5.378 0.000
-0.257 0.000 6.094
Ag P S
2 2 7
direct
0.140 0.860 0.000
0.860 0.140 0.000
0.353 0.353 0.345
0.647 0.647 0.655
0.000 0.000 0.500
0.098 0.425 0.225
0.377 0.377 0.693
0.425 0.098 0.225
0.575 0.902 0.775
0.623 0.623 0.307
0.902 0.575 0.775
```

---

| no. | formation energy (no corrections) (eV per atom) | total magnetic moment (μB per formula unit) | electronic total energy (eV per atom) |
| --- | --- | --- | --- |
| 1 | 1.231 | 0.00 | -2.8973 |
| 2 | 0.480 | 0.00 | -3.1383 |
| 3 | 0.197 | 0.00 | -4.1142 |
| 4 | -0.057 | 0.00 | -4.3277 |
| 5 | 0.026 | 0.00 | -3.6761 |
| 6 | 0.085 | 1.98 | -4.0435 |